[1]
# CaCu2PbF8 PBE-GGA optimized geometry
# Formation energy from raw total energies in eV per atom: -2.297
data_CaCu2PbF8
_space_group_name_H-M_alt 'I -4'
_space_group_IT_number 82
_cell_length_a 5.630
_cell_length_b 5.630
_cell_length_c 10.862
_cell_angle_alpha 90.00
_cell_angle_beta 90.00
_cell_angle_gamma 90.00
loop_
_space_group_symop_operation_xyz
'x,y,z'
'y,-x,-z'
'-x,-y,z'
'-y,x,-z'
'x+1/2,y+1/2,z+1/2'
'y+1/2,-x+1/2,-z+1/2'
'-x+1/2,-y+1/2,z+1/2'
'-y+1/2,x+1/2,-z+1/2'
loop_
_atom_site_label
_atom_site_fract_x
_atom_site_fract_y
_atom_site_fract_z
Ca1 0.000 0.000 0.000
Cu1 0.000 0.000 0.500
Cu2 0.000 0.500 0.250
Pb1 0.000 0.500 0.750
F1 0.128 0.793 0.190
F2 0.160 0.285 0.552



[2]
# Ca2CuPbF8 PBE-GGA optimized geometry
# Formation energy from raw total energies in eV per atom: -2.914
data_Ca2CuPbF8
_space_group_name_H-M_alt 'P -1'
_space_group_IT_number 2
_cell_length_a 4.175
_cell_length_b 5.576
_cell_length_c 7.805
_cell_angle_alpha 85.99
_cell_angle_beta 87.85
_cell_angle_gamma 86.55
loop_
_space_group_symop_operation_xyz
'x,y,z'
'-x,-y,-z'
loop_
_atom_site_label
_atom_site_fract_x
_atom_site_fract_y
_atom_site_fract_z
Ca1 0.045 0.007 0.243
Cu1 0.500 0.500 0.000
Pb1 0.500 0.500 0.500
F1 0.018 0.765 0.515
F2 0.147 0.753 0.007
F3 0.373 0.344 0.212
F4 0.442 0.157 0.733



[3]
# CaCu2PdF8 PBE-GGA optimized geometry
# Formation energy from raw total energies in eV per atom: -1.903
data_CaCu2PdF8
_space_group_name_H-M_alt 'I -4'
_space_group_IT_number 82
_cell_length_a 5.378
_cell_length_b 5.378
_cell_length_c 10.924
_cell_angle_alpha 90.00
_cell_angle_beta 90.00
_cell_angle_gamma 90.00
loop_
_space_group_symop_operation_xyz
'x,y,z'
'y,-x,-z'
'-x,-y,z'
'-y,x,-z'
'x+1/2,y+1/2,z+1/2'
'y+1/2,-x+1/2,-z+1/2'
'-x+1/2,-y+1/2,z+1/2'
'-y+1/2,x+1/2,-z+1/2'
loop_
_atom_site_label
_atom_site_fract_x
_atom_site_fract_y
_atom_site_fract_z
Ca1 0.000 0.000 0.000
Cu1 0.000 0.000 0.500
Cu2 0.000 0.500 0.750
Pd1 0.000 0.500 0.250
F1 0.175 0.274 0.427
F2 0.180 0.778 0.821



[4]
# RbCa2CuF PBE-GGA optimized geometry
# Formation energy from raw total energies in eV per atom: 0.649
data_RbCa2CuF
_space_group_name_H-M_alt 'P 4/m m m'
_space_group_IT_number 123
_space_group_name_Hall '-P 4 2'
_cell_length_a 7.045
_cell_length_b 7.045
_cell_length_c 5.510
_cell_angle_alpha 90.00
_cell_angle_beta 90.00
_cell_angle_gamma 90.00
loop_
_atom_site_label
_atom_site_fract_x
_atom_site_fract_y
_atom_site_fract_z
Rb1 0.000 0.000 0.000
Ca1 0.000 0.500 0.000
Cu1 0.000 0.000 0.500
F1 0.500 0.500 0.500



[5]
# RbCa2CuF8 PBE-GGA optimized geometry
# Formation energy from raw total energies in eV per atom: -2.847
data_RbCa2CuF8
_space_group_name_H-M_alt 'P -1'
_space_group_IT_number 2
_cell_length_a 4.322
_cell_length_b 5.962
_cell_length_c 8.091
_cell_angle_alpha 87.16
_cell_angle_beta 77.25
_cell_angle_gamma 87.83
loop_
_space_group_symop_operation_xyz
'x,y,z'
'-x,-y,-z'
loop_
_atom_site_label
_atom_site_fract_x
_atom_site_fract_y
_atom_site_fract_z
Rb1 0.000 0.000 0.000
Ca1 0.381 0.478 0.231
Cu1 0.000 0.000 0.500
F1 0.128 0.605 0.739
F2 0.200 0.853 0.317
F3 0.307 0.202 0.461
F4 0.483 0.280 0.995



[6]
# RbCaCu2F8 PBE-GGA optimized geometry
# Formation energy from raw total energies in eV per atom: -2.162
data_RbCaCu2F8
_space_group_name_H-M_alt 'P -3'
_space_group_IT_number 147
_cell_length_a 5.7204
_cell_length_b 5.7204
_cell_length_c 8.0134
_cell_angle_alpha 90.00
_cell_angle_beta 90.00
_cell_angle_gamma 120.00
loop_
_space_group_symop_operation_xyz
'x,y,z'
'-x,-y,-z'
'-y,x-y,z'
'y,-x+y,-z'
'-x+y,-x,z'
'x-y,x,-z'
loop_
_atom_site_label
_atom_site_fract_x
_atom_site_fract_y
_atom_site_fract_z
Rb1 0.0000 0.0000 0.0000
Ca1 0.0000 0.0000 0.5000
Cu1 0.3333 0.6667 0.7450
F1 0.0492 0.3235 0.6811
F2 0.3333 0.6667 0.9710



[7]
# Rb3CaCu2F9 PBE-GGA optimized geometry
# Formation energy from raw total energies in eV per atom: -2.528
data_Rb3CaCu2F9
_space_group_name_H-M_alt 'P -3 m 1'
_space_group_IT_number 164
_space_group_name_Hall '-P 3 2"'
_cell_length_a 6.0167
_cell_length_b 6.0167
_cell_length_c 7.3874
_cell_angle_alpha 90.00
_cell_angle_beta 90.00
_cell_angle_gamma 120.00
loop_
_atom_site_label
_atom_site_fract_x
_atom_site_fract_y
_atom_site_fract_z
Rb1 0.0000 0.0000 0.0000
Rb2 0.3333 0.6667 0.6728
Ca1 0.0000 0.0000 0.5000
Cu1 0.3333 0.6667 0.1563
F1 0.0000 0.5000 0.0000
F2 0.1741 0.3483 0.3203



[8]
# Rb2CaCu2F6 PBE-GGA optimized geometry
# Formation energy from raw total energies in eV per atom: -2.398
data_Rb2CaCu2F6
_space_group_name_H-M_alt 'C 1 2/m 1'
_space_group_IT_number 12
_cell_length_a 11.346
_cell_length_b 6.129
_cell_length_c 6.889
_cell_angle_alpha 90.00
_cell_angle_beta 123.09
_cell_angle_gamma 90.00
loop_
_space_group_symop_operation_xyz
'x,y,z'
'-x,-y,-z'
'-x,y,-z'
'x,-y,z'
'x+1/2,y+1/2,z'
'-x+1/2,-y+1/2,-z'
'-x+1/2,y+1/2,-z'
'x+1/2,-y+1/2,z'
loop_
_atom_site_label
_atom_site_fract_x
_atom_site_fract_y
_atom_site_fract_z
Rb1 0.221 0.000 0.185
Ca1 0.000 0.000 0.500
Cu1 0.065 0.500 0.223
F1 0.052 0.251 0.778
F2 0.234 0.000 0.637



[9]
# CaTiCuF2 PBE-GGA optimized geometry
# Formation energy from raw total energies in eV per atom: -1.232
data_CaTiCuF2
_space_group_name_H-M_alt 'P 4/m m m'
_space_group_IT_number 123
_space_group_name_Hall '-P 4 2'
_cell_length_a 4.155
_cell_length_b 4.155
_cell_length_c 8.045
_cell_angle_alpha 90.00
_cell_angle_beta 90.00
_cell_angle_gamma 90.00
loop_
_atom_site_label
_atom_site_fract_x
_atom_site_fract_y
_atom_site_fract_z
Ca1 0.000 0.000 0.000
Ti1 0.000 0.000 0.500
Cu1 0.500 0.500 0.500
F1 0.000 0.500 0.000



[10]
# CaTl2CuF6 PBE-GGA optimized geometry
# Formation energy from raw total energies in eV per atom: -2.271
data_CaTl2CuF6
_space_group_name_H-M_alt 'P -3 m 1'
_space_group_IT_number 164
_space_group_name_Hall '-P 3 2"'
_cell_length_a 6.2436
_cell_length_b 6.2436
_cell_length_c 5.8234
_cell_angle_alpha 90.00
_cell_angle_beta 90.00
_cell_angle_gamma 120.00
loop_
_atom_site_label
_atom_site_fract_x
_atom_site_fract_y
_atom_site_fract_z
Ca1 0.0000 0.0000 0.0000
Tl1 0.3333 0.6667 0.5991
Cu1 0.0000 0.0000 0.5000
F1 0.1490 0.2979 0.2804



[11]
# Ca2TlCuF8 PBE-GGA optimized geometry
# Formation energy from raw total energies in eV per atom: -2.743
data_Ca2TlCuF8
_space_group_name_H-M_alt 'P -1'
_space_group_IT_number 2
_cell_length_a 3.977
_cell_length_b 5.485
_cell_length_c 7.963
_cell_angle_alpha 85.10
_cell_angle_beta 89.15
_cell_angle_gamma 85.29
loop_
_space_group_symop_operation_xyz
'x,y,z'
'-x,-y,-z'
loop_
_atom_site_label
_atom_site_fract_x
_atom_site_fract_y
_atom_site_fract_z
Ca1 0.008 0.024 0.238
Tl1 0.500 0.500 0.500
Cu1 0.500 0.500 0.000
F1 0.004 0.754 0.521
F2 0.103 0.747 0.021
F3 0.451 0.318 0.219
F4 0.469 0.176 0.725



[12]
# CaTl2Cu2F6 PBE-GGA optimized geometry
# Formation energy from raw total energies in eV per atom: -2.057
data_CaTl2Cu2F6
_space_group_name_H-M_alt 'C 1 2/m 1'
_space_group_IT_number 12
_cell_length_a 11.439
_cell_length_b 5.943
_cell_length_c 7.178
_cell_angle_alpha 90.00
_cell_angle_beta 127.43
_cell_angle_gamma 90.00
loop_
_space_group_symop_operation_xyz
'x,y,z'
'-x,-y,-z'
'-x,y,-z'
'x,-y,z'
'x+1/2,y+1/2,z'
'-x+1/2,-y+1/2,-z'
'-x+1/2,y+1/2,-z'
'x+1/2,-y+1/2,z'
loop_
_atom_site_label
_atom_site_fract_x
_atom_site_fract_y
_atom_site_fract_z
Ca1 0.000 0.000 0.000
Tl1 0.222 0.000 0.754
Cu1 0.066 0.500 0.399
F1 0.066 0.263 0.850
F2 0.239 0.000 0.317



Q: Number 11 is which compound?
A: Ca2TlCuF8



Q: formation energy from raw total energies of number 9 (CaTiCuF2)?
A: -1.232 eV per atom



Repeat the eighth record exactly.
# Rb2CaCu2F6 PBE-GGA optimized geometry
# Formation energy from raw total energies in eV per atom: -2.398
data_Rb2CaCu2F6
_space_group_name_H-M_alt 'C 1 2/m 1'
_space_group_IT_number 12
_cell_length_a 11.346
_cell_length_b 6.129
_cell_length_c 6.889
_cell_angle_alpha 90.00
_cell_angle_beta 123.09
_cell_angle_gamma 90.00
loop_
_space_group_symop_operation_xyz
'x,y,z'
'-x,-y,-z'
'-x,y,-z'
'x,-y,z'
'x+1/2,y+1/2,z'
'-x+1/2,-y+1/2,-z'
'-x+1/2,y+1/2,-z'
'x+1/2,-y+1/2,z'
loop_
_atom_site_label
_atom_site_fract_x
_atom_site_fract_y
_atom_site_fract_z
Rb1 0.221 0.000 0.185
Ca1 0.000 0.000 0.500
Cu1 0.065 0.500 0.223
F1 0.052 0.251 0.778
F2 0.234 0.000 0.637



Q: formation energy from raw total energies of number 8 (Rb2CaCu2F6)?
A: -2.398 eV per atom